Density functional theory data (PBE) for a relaxed Nd2Dy2Al crystal.

Cell: 3.561 3.561 12.078 Å, 98.48 98.48 90.00°
Atoms (fractional coordinates):
Nd  0.808  0.808  0.616
Dy  0.420  0.420  0.839
Al  0.000  0.000  0.000
Nd  0.192  0.192  0.384
Dy  0.580  0.580  0.161

Offset from the most stable computed form: 0 meV/atom
M_tot: 0.000 μB per atom
Formation enthalpy at 0 K: -0.147 eV per atom
DOS at the Fermi energy: 1.12 states/eV per atom


Density functional theory data (PBE) for a relaxed Li5AlPd3 crystal.

Cell: 6.467 6.467 10.086 Å, 65.20 65.20 92.75°
Atoms (fractional coordinates):
Pd  0.674  0.674  0.340
Pd  0.326  0.326  0.660
Pd  0.325  0.325  0.160
Li  0.666  0.666  0.093
Al  0.002  0.002  0.749
Li  0.737  0.263  0.000
Al  0.998  0.998  0.251
Li  0.334  0.334  0.907
Li  0.587  0.063  0.662
Pd  0.000  0.000  0.500
Li  0.660  0.660  0.592
Pd  0.000  0.000  0.000
Li  0.263  0.737  0.000
Li  0.413  0.937  0.338
Pd  0.675  0.675  0.840
Li  0.340  0.340  0.408
Li  0.063  0.587  0.662
Li  0.937  0.413  0.338

M_tot: 0.000 μB per atom
Formation enthalpy at 0 K: -0.313 eV per atom
DOS at the Fermi energy: 0.36 states/eV per atom


Density functional theory data (PBE) for a relaxed NaCa2TbS4 crystal.

Cell: 4.030 6.947 6.914 Å, 108.60 90.00 90.00°
Atoms (fractional coordinates):
S  0.000  0.762  0.252
S  0.500  0.241  0.242
Na  0.500  0.500  0.000
Ca  0.000  0.500  0.500
S  0.000  0.238  0.748
S  0.500  0.759  0.758
Tb  0.000  0.000  0.000
Ca  0.500  0.000  0.500

M_tot: 0.000 μB per atom
ΔE_f (raw): -45.30 kcal/mol of atoms
DOS at the Fermi energy: 0.00 states/eV per atom


Density functional theory data (PBE) for a relaxed NdNbTe2 crystal.

Cell: 3.649 3.649 10.369 Å, 79.87 79.87 60.00°
Site moments in Bohr magnetons follow the coordinates.
Atoms (fractional coordinates):
Te  0.895  0.895  0.315  0.00
Nb  0.500  0.500  0.500  0.07
Nd  0.000  0.000  0.000  0.17
Te  0.105  0.105  0.685  0.00

M_tot: 0.125 μB per atom
ΔE_f (raw): -7.53 kcal/mol of atoms
DOS at the Fermi energy: 0.95 states/eV per atom